Entry 1:
A plane-wave DFT calculation with PBE was carried out for an optimized crystal structure of CaV2GaSn.

**E_form**: 1.752 eV/atom
**Crystal system**: tetragonal
**E**: -3.702 eV/atom
**Mass density**: 5.02 g/cm³

extended XYZ file:
```
5
Lattice="4.621 0.000 0.000 0.000 5.122 0.000 0.000 0.000 4.621" Properties=species:S:1:pos:R:3 pbc="T T T"
Ca 0.000 0.000 0.000
Sn 2.310 2.561 2.310
Ga 0.000 2.561 0.000
V 0.000 0.000 2.310
V 2.310 0.000 0.000
```

---

Entry 2:
A plane-wave DFT calculation with PBE was carried out for an optimized crystal structure of YHPt3.

**Crystal system**: trigonal
**ΔE to the lowest computed polymorph**: 0.000 eV per atom
**E**: -6.389 eV/atom
**Mass density**: 15.10 g/cm³

extended XYZ file:
```
10
Lattice="5.147 -0.007 -2.940 1.704 4.857 -2.940 0.009 0.007 5.928" Properties=species:S:1:pos:R:3 pbc="T T T"
Y 3.620 3.053 2.079
Y 5.337 0.618 -0.885
H 4.768 3.865 0.099
H 1.337 1.437 0.076
Pt 6.168 3.117 -2.319
Pt 2.824 0.578 0.621
Pt 5.281 0.578 2.045
Pt 3.555 3.007 -0.919
Pt 2.748 0.696 3.585
Pt 1.107 3.013 3.585
```